## Mg8Pt (PBE)

Data for crystalline Mg8Pt at its relaxed geometry.

Values from the calculation:
The space group is I4/mmm, No. 139. The formation energy is -0.205 eV per atom.

Cell: 7.2993 7.2993 7.2993 Å, 93.76 93.76 150.33°
Closest atoms and distances in Å follow each position.
Fractional coordinates of all 9 atoms:
Mg1 0.0000 0.3295 0.3295  8 Mg 2.99-3.05, 1 Pt 3.29
Mg2 0.0000 0.6705 0.6705  8 Mg 2.99-3.05, 1 Pt 3.29
Mg3 0.3295 0.0000 0.3295  8 Mg 2.99-3.05, 1 Pt 3.29
Mg4 0.3489 0.3489 0.6977  2 Pt 2.84, 6 Mg 2.99-3.02
Mg5 0.3489 0.6511 0.0000  2 Pt 2.84, 6 Mg 2.99-3.02
Mg6 0.6511 0.3489 0.0000  2 Pt 2.84, 6 Mg 2.99-3.02
Mg7 0.6511 0.6511 0.3023  2 Pt 2.84, 6 Mg 2.99-3.02
Mg8 0.6705 0.0000 0.6705  8 Mg 2.99-3.05, 1 Pt 3.29
Pt1 0.0000 0.0000 0.0000  8 Mg 2.84